1.
VASP calculation (SCAN) on a PBEsol-optimized structure of CuSiW. Values from VASP.

The density of states at the Fermi level is 0.528 states/eV per atom. As for the crystal system: orthorhombic. As for the uncorrected formation energy: 309 meV per atom. The value obtained for the total DFT energy (no corrections) is -2.302 Ry/atom. The symmetry is No. 42.

Geometry as Quantum ESPRESSO input:
```
&SYSTEM
  ibrav = 0, nat = 3, ntyp = 3
/
ATOMIC_SPECIES
Cu 63.55 Cu.upf
Si 28.09 Si.upf
W 183.84 W.upf
ATOMIC_POSITIONS angstrom
Cu -0.048 0.076 0.046
Si 0.138 1.325 2.113
W -1.807 2.902 1.754
CELL_PARAMETERS angstrom
-0.279 -1.509 2.209
2.344 1.289 0.283
-3.781 4.523 1.421
```

---

2.
VASP calculation (SCAN) on a PBEsol-optimized structure of Zn5Cd4. Values from VASP.

The density of states at the Fermi level is 0.326 states/eV per atom. The calculation puts the formation energy at 0.11 eV/atom. As for the crystal system: tetragonal. The value obtained for the total DFT energy (no corrections) is -1.537 Ry/atom. The symmetry is No. 139.

Geometry as Quantum ESPRESSO input:
```
&SYSTEM
  ibrav = 0, nat = 9, ntyp = 2
/
ATOMIC_SPECIES
Cd 112.41 Cd.upf
Zn 65.41 Zn.upf
ATOMIC_POSITIONS angstrom
Cd 4.120 1.974 1.974
Cd 4.120 4.169 4.169
Cd 2.060 1.974 4.169
Cd 2.060 4.169 1.974
Zn 0.000 0.000 0.000
Zn 4.120 4.198 0.000
Zn 2.060 0.000 1.945
Zn 4.120 0.000 4.198
Zn 2.060 1.945 0.000
CELL_PARAMETERS angstrom
4.120 0.000 0.000
2.060 6.143 0.000
2.060 0.000 6.143
```

---

3.
VASP calculation (SCAN) on a PBEsol-optimized structure of BaReSb. Values from VASP.

The density of states at the Fermi level is 1.119 states/eV per atom. As for the crystal system: hexagonal. As for the uncorrected formation energy: 326 meV per atom. The value obtained for the total DFT energy (no corrections) is -3.600 Ry/atom. The symmetry is No. 187.

Geometry as Quantum ESPRESSO input:
```
&SYSTEM
  ibrav = 0, nat = 3, ntyp = 3
/
ATOMIC_SPECIES
Ba 137.33 Ba.upf
Re 186.21 Re.upf
Sb 121.76 Sb.upf
ATOMIC_POSITIONS angstrom
Ba 0.000 0.000 0.000
Re 0.000 2.596 2.507
Sb 2.248 1.298 2.507
CELL_PARAMETERS angstrom
4.496 0.000 0.000
-2.248 3.894 0.000
0.000 0.000 5.014
```

---

4.
VASP calculation (SCAN) on a PBEsol-optimized structure of ReP3W. Values from VASP.

The density of states at the Fermi level is 0.535 states/eV per atom. The calculation puts the formation energy at 1.48 eV/atom. As for the crystal system: cubic. The value obtained for the total DFT energy (no corrections) is -2.419 Ry/atom. The symmetry is No. 221.

Geometry as Quantum ESPRESSO input:
```
&SYSTEM
  ibrav = 0, nat = 5, ntyp = 3
/
ATOMIC_SPECIES
Re 186.21 Re.upf
W 183.84 W.upf
P 30.97 P.upf
ATOMIC_POSITIONS angstrom
Re 0.000 0.000 0.000
W -1.059 0.627 3.741
P 1.192 -0.641 1.827
P -0.347 2.040 0.942
P -1.905 -0.773 0.972
CELL_PARAMETERS angstrom
-3.810 -1.545 1.944
2.384 -1.282 3.654
-0.694 4.080 1.884
```

---

5.
VASP calculation (SCAN) on a PBEsol-optimized structure of CuSiAg2. Values from VASP.

The density of states at the Fermi level is 0.257 states/eV per atom. As for the crystal system: tetragonal. As for the uncorrected formation energy: 224 meV per atom. The value obtained for the total DFT energy (no corrections) is -1.600 Ry/atom. The symmetry is No. 139.

Geometry as Quantum ESPRESSO input:
```
&SYSTEM
  ibrav = 0, nat = 4, ntyp = 3
/
ATOMIC_SPECIES
Ag 107.87 Ag.upf
Cu 63.55 Cu.upf
Si 28.09 Si.upf
ATOMIC_POSITIONS angstrom
Ag -0.832 1.701 1.983
Ag -2.527 -0.252 1.035
Cu -1.909 1.914 -0.529
Si 0.000 0.000 0.000
CELL_PARAMETERS angstrom
-0.214 3.867 0.420
-3.604 -0.039 -1.478
0.460 -2.379 4.076
```

---

6.
VASP calculation (SCAN) on a PBEsol-optimized structure of LiAs2Au. Values from VASP.

The density of states at the Fermi level is 0.315 states/eV per atom. The calculation puts the formation energy at -0.26 eV/atom. As for the crystal system: orthorhombic. The value obtained for the total DFT energy (no corrections) is -2.076 Ry/atom. The symmetry is No. 47.

Geometry as Quantum ESPRESSO input:
```
&SYSTEM
  ibrav = 0, nat = 4, ntyp = 3
/
ATOMIC_SPECIES
As 74.92 As.upf
Au 196.97 Au.upf
Li 6.94 Li.upf
ATOMIC_POSITIONS angstrom
As 1.903 0.250 4.066
As 0.052 0.221 2.140
Au -1.236 -1.852 1.216
Li 1.826 -2.023 2.321
CELL_PARAMETERS angstrom
-2.086 0.407 1.998
-0.387 -4.111 0.434
4.040 0.064 4.208
```

---

7.
VASP calculation (SCAN) on a PBEsol-optimized structure of HgSbTe2. Values from VASP.

The density of states at the Fermi level is 0.451 states/eV per atom. As for the crystal system: trigonal. As for the uncorrected formation energy: 67 meV per atom. The value obtained for the total DFT energy (no corrections) is -3.301 Ry/atom. The symmetry is No. 166. The calculation puts the energy above the most stable polymorph in this dataset at 120.7 meV/atom.

Geometry as Quantum ESPRESSO input:
```
&SYSTEM
  ibrav = 0, nat = 4, ntyp = 3
/
ATOMIC_SPECIES
Sb 121.76 Sb.upf
Te 127.60 Te.upf
Hg 200.59 Hg.upf
ATOMIC_POSITIONS angstrom
Sb 4.091 2.362 4.832
Te 6.136 3.543 2.941
Te 2.045 1.181 6.723
Hg 0.000 0.000 0.000
CELL_PARAMETERS angstrom
4.091 0.000 0.000
2.045 3.543 0.000
2.045 1.181 9.664
```

---

8.
VASP calculation (SCAN) on a PBEsol-optimized structure of Cd2InAg. Values from VASP.

The density of states at the Fermi level is 0.254 states/eV per atom. The calculation puts the formation energy at 0.01 eV/atom. As for the crystal system: orthorhombic. The value obtained for the total DFT energy (no corrections) is -2.306 Ry/atom. The symmetry is No. 65.

Geometry as Quantum ESPRESSO input:
```
&SYSTEM
  ibrav = 0, nat = 4, ntyp = 3
/
ATOMIC_SPECIES
In 114.82 In.upf
Ag 107.87 Ag.upf
Cd 112.41 Cd.upf
ATOMIC_POSITIONS angstrom
In -2.717 -2.762 3.010
Ag 0.297 -2.130 -0.143
Cd -1.343 -0.282 1.405
Cd -4.684 -0.983 4.900
CELL_PARAMETERS angstrom
-1.254 -2.245 -1.649
1.848 -2.014 1.363
-6.028 -1.265 6.306
```